# Al2PRu PBE optimized geometry
data_Al2PRu
_cell_length_a 3.0021
_cell_length_b 3.0021
_cell_length_c 23.1680
_cell_angle_alpha 90.00
_cell_angle_beta 90.00
_cell_angle_gamma 120.00
_space_group_name_H-M_alt 'R 3 m'
_space_group_IT_number 160
_space_group_name_Hall 'R 3 -2"'
loop_
_atom_site_label
_atom_site_type_symbol
_atom_site_fract_x
_atom_site_fract_y
_atom_site_fract_z
Al1 Al 0.0000 0.0000 0.0000
Al2 Al 0.0000 0.0000 0.2391
P1 P 0.0000 0.0000 0.7510
Ru1 Ru 0.0000 0.0000 0.4864
# ΔE_f in kJ/mol of formula units: -97
# Uncorrected energy in eV per atom: -5.795
# Total moment in μB/atom: 0.00